Arrangement a

Entry from the Alexandria database: a relaxed Sm3Er3In2 crystal (GGA-PBE).

Computed properties:
The calculation puts the volume at 30.7 Å³/atom. The crystal system is orthorhombic. The space-group type is Cmcm, No. 63.

Unit cell a=5.138 b=6.438 c=16.210 alpha=90.00 beta=90.00 gamma=113.52
Positions (direct):
1 In 0.764 0.528 0.634
2 In 0.236 0.472 0.134
3 In 0.236 0.472 0.366
4 In 0.764 0.528 0.866
5 Sm 0.959 0.918 0.396
6 Sm 0.041 0.082 0.604
7 Sm 0.959 0.918 0.104
8 Sm 0.041 0.082 0.896
9 Sm 0.737 0.474 0.250
10 Sm 0.263 0.526 0.750
11 Er 0.458 0.915 0.250
12 Er 0.640 0.281 0.463
13 Er 0.640 0.281 0.037
14 Er 0.360 0.719 0.537
15 Er 0.360 0.719 0.963
16 Er 0.542 0.085 0.750

=====

Arrangement b

Entry from the Alexandria database: a relaxed Sm3Er3In2 crystal (GGA-PBE).

Computed properties:
The calculation puts the volume at 28.9 Å³/atom. The crystal system is orthorhombic. The space-group type is Pmmm, No. 47.

Unit cell a=4.854 b=4.865 c=9.783 alpha=90.00 beta=90.00 gamma=90.00
Positions (direct):
1 Er 0.500 0.500 0.752
2 Er 0.500 0.000 0.000
3 Er 0.500 0.500 0.248
4 In 0.000 0.000 0.247
5 In 0.000 0.000 0.753
6 Sm 0.500 0.000 0.500
7 Sm 0.000 0.500 0.500
8 Sm 0.000 0.500 0.000

=====

Verdict on stability: arrangement b comes out on top.

=====

Arrangement a

Entry from the Alexandria database: a relaxed Sm3ErIn crystal (GGA-PBE).

Computed properties:
The calculation puts the volume at 32.9 Å³/atom. The crystal system is orthorhombic. The space-group type is Ima2, No. 46.

Unit cell a=7.860 b=7.860 c=7.860 alpha=87.21 beta=116.13 gamma=127.47
Positions (direct):
1 In 0.590 0.779 0.311
2 In 0.468 0.279 0.689
3 Sm 0.097 0.282 0.315
4 Sm 0.538 0.757 0.722
5 Sm 0.035 0.816 0.278
6 Sm 0.035 0.257 0.719
7 Sm 0.967 0.782 0.685
8 Sm 0.538 0.316 0.281
9 Er 0.525 0.024 0.001
10 Er 0.023 0.524 0.999

=====

Arrangement b

Entry from the Alexandria database: a relaxed Sm3ErIn crystal (GGA-PBE).

Computed properties:
The calculation puts the volume at 30.2 Å³/atom. The crystal system is orthorhombic. The space-group type is Cmcm, No. 63.

Unit cell a=4.879 b=4.882 c=12.909 alpha=90.00 beta=79.11 gamma=90.00
Positions (direct):
1 Sm 0.271 0.750 0.106
2 Sm 0.377 0.250 0.894
3 Sm 0.771 0.250 0.106
4 Sm 0.877 0.750 0.894
5 Sm 0.075 0.750 0.499
6 Sm 0.573 0.250 0.501
7 Er 0.475 0.750 0.698
8 Er 0.173 0.250 0.302
9 In 0.671 0.750 0.306
10 In 0.977 0.250 0.694

=====

Verdict on stability: arrangement b comes out on top.

=====

Arrangement a

Entry from the Alexandria database: a relaxed Sm4ErIn crystal (GGA-PBE).

Computed properties:
The calculation puts the volume at 32.2 Å³/atom. The crystal system is orthorhombic. The space-group type is Cmc2_1, No. 36.

Unit cell a=5.652 b=6.459 c=10.959 alpha=90.00 beta=104.94 gamma=90.00
Positions (direct):
1 Sm 0.437 0.924 0.875
2 Sm 0.563 0.424 0.125
3 Sm 0.957 0.245 0.914
4 Sm 0.043 0.745 0.086
5 Sm 0.751 0.555 0.503
6 Sm 0.813 0.086 0.626
7 Sm 0.187 0.586 0.374
8 Sm 0.249 0.055 0.497
9 Er 0.364 0.436 0.727
10 Er 0.636 0.936 0.273
11 In 0.896 0.687 0.792
12 In 0.104 0.187 0.208

=====

Arrangement b

Entry from the Alexandria database: a relaxed Sm4ErIn crystal (GGA-PBE).

Computed properties:
The calculation puts the volume at 31.6 Å³/atom. The crystal system is tetragonal. The space-group type is P4/mmm, No. 123.

Unit cell a=4.095 b=4.095 c=11.294 alpha=90.00 beta=90.00 gamma=90.00
Positions (direct):
1 In 0.500 0.500 0.500
2 Sm 0.000 0.000 0.647
3 Sm 0.000 0.000 0.353
4 Sm 0.500 0.500 0.835
5 Sm 0.500 0.500 0.165
6 Er 0.000 0.000 0.000

=====

Verdict on stability: arrangement b comes out on top.